No. 1
KTeMo3 (PBE-GGA, optimized geometry); DFT total energy = -5.42 eV/atom; formation energy from raw total energies = 1.93 eV/atom; space-group type = Pm-3m (221); relative energy among the computed polymorphs = 0 meV/atom
1.0
5.052 0.000 0.000
0.000 5.052 0.000
0.000 0.000 5.052
K Te Mo
1 1 3
Direct
0.000 0.000 0.000
0.500 0.500 0.500
0.000 0.500 0.500
0.500 0.000 0.500
0.500 0.500 0.000

No. 2
Li2Ca3Cd7 (PBE-GGA, optimized geometry); DFT total energy = -1.63 eV/atom; space-group type = R-3m (166)
1.0
2.965 1.712 9.553
-2.965 1.712 9.553
0.000 -3.423 9.553
Li Ca Cd
2 3 7
Direct
0.167 0.167 0.167
0.833 0.833 0.833
0.359 0.359 0.359
0.500 0.500 0.500
0.641 0.641 0.641
0.000 0.000 0.000
0.081 0.081 0.577
0.081 0.577 0.081
0.423 0.919 0.919
0.577 0.081 0.081
0.919 0.423 0.919
0.919 0.919 0.423

No. 3
Tb2ErTh6 (PBE-GGA, optimized geometry); DFT total energy = -6.40 eV/atom; space-group type = P-6m2 (187)
1.0
3.539 0.000 0.000
-1.770 3.065 0.000
0.000 0.000 26.895
Tb Er Th
2 1 6
Direct
0.000 0.000 0.171
0.000 0.000 0.829
0.333 0.667 0.500
0.000 0.000 0.391
0.000 0.000 0.609
0.333 0.667 0.062
0.333 0.667 0.282
0.333 0.667 0.718
0.333 0.667 0.938

No. 4
LiTiSbRu2 (PBE-GGA, optimized geometry); DFT total energy = -5.77 eV/atom; formation energy from raw total energies = 0.73 eV/atom; space-group type = P4/mmm (123)
1.0
4.513 0.000 0.000
0.000 4.513 0.000
0.000 0.000 4.655
Li Ti Sb Ru
1 1 1 2
Direct
0.000 0.000 0.000
0.000 0.000 0.500
0.500 0.500 0.000
0.000 0.500 0.500
0.500 0.000 0.500

No. 5
TePt (PBE-GGA, optimized geometry); DFT total energy = -4.95 eV/atom; formation energy from raw total energies = -0.35 eV/atom; space-group type = R-3m (166)
1.0
2.012 1.161 6.820
-2.012 1.161 6.820
0.000 -2.323 6.820
Te Pt
2 2
Direct
0.096 0.096 0.096
0.904 0.904 0.904
0.369 0.369 0.369
0.631 0.631 0.631

No. 6
Ca2AsPPt6 (PBE-GGA, optimized geometry); DFT total energy = -5.79 eV/atom; space-group type = Pmmn (59)
1.0
5.606 0.000 0.000
0.000 8.455 0.000
0.000 0.000 8.238
Ca As P Pt
4 2 2 12
Direct
0.250 0.008 0.227
0.250 0.492 0.227
0.750 0.508 0.773
0.750 0.992 0.773
0.250 0.750 0.779
0.750 0.250 0.221
0.250 0.250 0.752
0.750 0.750 0.248
0.001 0.750 0.496
0.003 0.250 0.977
0.250 0.000 0.623
0.250 0.500 0.623
0.497 0.250 0.977
0.499 0.750 0.496
0.501 0.250 0.504
0.503 0.750 0.023
0.750 0.000 0.377
0.750 0.500 0.377
0.997 0.750 0.023
0.999 0.250 0.504

No. 7
Rb3SnN (PBE-GGA, optimized geometry); DFT total energy = -2.37 eV/atom; formation energy from raw total energies = 0.68 eV/atom; space-group type = Pm-3m (221); relative energy among the computed polymorphs = 0 meV/atom
1.0
5.845 0.000 0.000
0.000 5.845 0.000
0.000 0.000 5.845
Rb Sn N
3 1 1
Direct
0.000 0.000 0.500
0.000 0.500 0.000
0.500 0.000 0.000
0.500 0.500 0.500
0.000 0.000 0.000

No. 8
Rb3Er2CrTe6 (PBE-GGA, optimized geometry); DFT total energy = -4.43 eV/atom; formation energy from raw total energies = -1.06 eV/atom; space-group type = C2/m (12)
1.0
3.807 -6.595 0.000
3.807 6.595 0.000
-2.557 0.000 8.501
Rb Er Cr Te
3 2 1 6
Direct
0.000 0.000 0.000
0.327 0.673 0.000
0.673 0.327 0.000
0.166 0.834 0.500
0.834 0.166 0.500
0.500 0.500 0.500
0.127 0.437 0.312
0.254 0.254 0.691
0.437 0.127 0.312
0.563 0.873 0.688
0.746 0.746 0.309
0.873 0.563 0.688

| no. | theoretical density (g/cm³) |
| --- | --- |
| 1 | 5.9 |
| 2 | 5.3 |
| 3 | 10.7 |
| 4 | 6.6 |
| 5 | 11.2 |
| 6 | 11.5 |
| 7 | 3.2 |
| 8 | 5.5 |